1.
# MgSiMo, relaxed, DFT PBE-GGA
data_MgSiMo
_cell_length_a 3.945
_cell_length_b 3.945
_cell_length_c 6.725
_cell_angle_alpha 90.00
_cell_angle_beta 90.00
_cell_angle_gamma 90.00
_space_group_name_H-M_alt 'P 4/n m m'
_space_group_IT_number 129
loop_
_space_group_symop_operation_xyz
'x,y,z'
'-x,-y,-z'
'-y+1/2,x,z'
'y+1/2,-x,-z'
'-x+1/2,-y+1/2,z'
'x+1/2,y+1/2,-z'
'y,-x+1/2,z'
'-y,x+1/2,-z'
'x+1/2,-y,-z'
'-x+1/2,y,z'
'-y,-x,-z'
'y,x,z'
'-x,y+1/2,-z'
'x,-y+1/2,z'
'y+1/2,x+1/2,-z'
'-y+1/2,-x+1/2,z'
loop_
_atom_site_label
_atom_site_fract_x
_atom_site_fract_y
_atom_site_fract_z
Mg1 0.250 0.250 0.154
Si1 0.250 0.250 0.751
Mo1 0.250 0.750 0.500
# Energy above the lowest structure with this stoichiometry ... 0 meV per atom
# ρ ... 4.71 g/cm³
# Uncorrected formation energy ... -0.16 eV per atom
# DOS at the Fermi energy ... 1.943 states/eV/f.u.
# M_tot ... 0.00 μB per formula unit
# V ... 104.7 Å³ per cell


2.
# MgSiMo2, relaxed, DFT PBE-GGA
data_MgSiMo2
_cell_length_a 2.8586
_cell_length_b 2.8586
_cell_length_c 27.1161
_cell_angle_alpha 90.00
_cell_angle_beta 90.00
_cell_angle_gamma 120.00
_space_group_name_H-M_alt 'R -3 m'
_space_group_IT_number 166
_space_group_name_Hall '-R 3 2"'
loop_
_atom_site_label
_atom_site_fract_x
_atom_site_fract_y
_atom_site_fract_z
Mg1 0.0000 0.0000 0.0000
Si1 0.0000 0.0000 0.5000
Mo1 0.0000 0.0000 0.2432
# ρ ... 6.34 g/cm³
# Uncorrected formation energy ... 0.22 eV per atom
# DOS at the Fermi energy ... 3.602 states/eV/f.u.
# M_tot ... 0.00 μB per formula unit
# V ... 191.9 Å³ per cell


3.
# MgSiMo2, relaxed, DFT PBE-GGA
data_MgSiMo2
_cell_length_a 3.315
_cell_length_b 4.455
_cell_length_c 8.775
_cell_angle_alpha 90.00
_cell_angle_beta 90.00
_cell_angle_gamma 90.00
_space_group_name_H-M_alt 'C m m 2'
_space_group_IT_number 35
_space_group_name_Hall 'C 2 -2'
loop_
_atom_site_label
_atom_site_fract_x
_atom_site_fract_y
_atom_site_fract_z
Mg1 0.000 0.000 0.000
Si1 0.000 0.500 0.732
Mo1 0.000 0.000 0.511
Mo2 0.000 0.500 0.264
# ρ ... 6.26 g/cm³
# Uncorrected formation energy ... 0.12 eV per atom
# DOS at the Fermi energy ... 2.478 states/eV/f.u.
# M_tot ... 0.00 μB per formula unit
# V ... 129.6 Å³ per cell


4.
# MgSiMo2, relaxed, DFT PBE-GGA
data_MgSiMo2
_cell_length_a 9.022
_cell_length_b 2.924
_cell_length_c 4.777
_cell_angle_alpha 90.00
_cell_angle_beta 100.58
_cell_angle_gamma 90.00
_space_group_name_H-M_alt 'C 1 m 1'
_space_group_IT_number 8
_space_group_name_Hall 'C -2y'
loop_
_atom_site_label
_atom_site_fract_x
_atom_site_fract_y
_atom_site_fract_z
Mg1 0.000 0.000 0.000
Si1 0.249 0.500 0.253
Mo1 0.242 0.000 0.742
Mo2 0.481 0.000 0.482
# ρ ... 6.55 g/cm³
# Uncorrected formation energy ... 0.16 eV per atom
# DOS at the Fermi energy ... 2.439 states/eV/f.u.
# M_tot ... 0.00 μB per formula unit
# V ... 123.9 Å³ per cell


5.
# MgSi2Mo, relaxed, DFT PBE-GGA
data_MgSi2Mo
_cell_length_a 4.266
_cell_length_b 4.266
_cell_length_c 3.330
_cell_angle_alpha 90.00
_cell_angle_beta 90.00
_cell_angle_gamma 90.00
_space_group_name_H-M_alt 'P 4/m m m'
_space_group_IT_number 123
_space_group_name_Hall '-P 4 2'
loop_
_atom_site_label
_atom_site_fract_x
_atom_site_fract_y
_atom_site_fract_z
Mg1 0.000 0.000 0.000
Si1 0.000 0.500 0.500
Mo1 0.500 0.500 0.000
# ρ ... 4.83 g/cm³
# Uncorrected formation energy ... 0.14 eV per atom
# DOS at the Fermi energy ... 2.793 states/eV/f.u.
# M_tot ... 0.00 μB per formula unit
# V ... 60.6 Å³ per cell


6.
# MgSiMo2, relaxed, DFT PBE-GGA
data_MgSiMo2
_cell_length_a 3.851
_cell_length_b 3.851
_cell_length_c 4.169
_cell_angle_alpha 90.00
_cell_angle_beta 90.00
_cell_angle_gamma 90.00
_space_group_name_H-M_alt 'P 4/m m m'
_space_group_IT_number 123
_space_group_name_Hall '-P 4 2'
loop_
_atom_site_label
_atom_site_fract_x
_atom_site_fract_y
_atom_site_fract_z
Mg1 0.000 0.000 0.000
Si1 0.500 0.500 0.000
Mo1 0.000 0.500 0.500
# ρ ... 6.56 g/cm³
# Uncorrected formation energy ... 0.18 eV per atom
# DOS at the Fermi energy ... 3.176 states/eV/f.u.
# M_tot ... 0.00 μB per formula unit
# V ... 61.8 Å³ per cell


7.
# Mg2ZnSiMo, relaxed, DFT PBE-GGA
data_Mg2ZnSiMo
_cell_length_a 4.687
_cell_length_b 4.687
_cell_length_c 4.817
_cell_angle_alpha 90.00
_cell_angle_beta 90.00
_cell_angle_gamma 90.00
_space_group_name_H-M_alt 'P 4/m m m'
_space_group_IT_number 123
_space_group_name_Hall '-P 4 2'
loop_
_atom_site_label
_atom_site_fract_x
_atom_site_fract_y
_atom_site_fract_z
Mg1 0.000 0.500 0.000
Zn1 0.000 0.000 0.000
Si1 0.500 0.500 0.500
Mo1 0.000 0.000 0.500
# ρ ... 3.74 g/cm³
# Uncorrected formation energy ... 0.94 eV per atom
# DOS at the Fermi energy ... 3.379 states/eV/f.u.
# M_tot ... 2.01 μB per formula unit
# V ... 105.8 Å³ per cell


8.
# MgSnMo, relaxed, DFT PBE-GGA
data_MgSnMo
_cell_length_a 6.9926
_cell_length_b 6.9926
_cell_length_c 4.5582
_cell_angle_alpha 90.00
_cell_angle_beta 90.00
_cell_angle_gamma 120.00
_space_group_name_H-M_alt 'P -6 2 m'
_space_group_IT_number 189
_space_group_name_Hall 'P -6 -2'
loop_
_atom_site_label
_atom_site_fract_x
_atom_site_fract_y
_atom_site_fract_z
Mg1 0.0000 0.4345 0.0000
Sn1 0.0000 0.0000 0.0000
Sn2 0.3333 0.6667 0.5000
Mo1 0.0000 0.7826 0.5000
# ρ ... 6.17 g/cm³
# DOS at the Fermi energy ... 2.691 states/eV/f.u.
# M_tot ... 0.00 μB per formula unit
# Calculated formation energy ... 327 meV per atom
# V ... 193.0 Å³ per cell